1.
The following is a DFT calculation (PBE-GGA) of a relaxed structure of LiY3Rh8.

The structure in CIF format:
```
data_LiY3Rh8
_chemical_formula_sum 'Li3 Y9 Rh24'
_cell_length_a 5.2883
_cell_length_b 5.2883
_cell_length_c 26.0419
_cell_angle_alpha 90.00
_cell_angle_beta 90.00
_cell_angle_gamma 120.00
_symmetry_space_group_name_H-M 'R 3 m'
_symmetry_Int_Tables_number 160
_symmetry_space_group_name_Hall 'R 3 -2"'
loop_
_atom_site_label
_atom_site_type_symbol
_atom_site_fract_x
_atom_site_fract_y
_atom_site_fract_z
Li1 Li 0.0000 0.0000 0.0000
Y1 Y 0.0000 0.0000 0.3661
Y2 Y 0.0000 0.0000 0.4955
Y3 Y 0.0000 0.0000 0.8788
Rh1 Rh 0.0000 0.0000 0.1840
Rh2 Rh 0.0000 0.0000 0.6838
Rh3 Rh 0.9998 0.4999 0.4337
Rh4 Rh 0.1675 0.3349 0.2675
```

***

2.
# Li2YRh, relaxed, DFT PBE-GGA
# relative energy among the computed polymorphs: 54 meV/atom
data_Li2YRh
_chemical_formula_sum 'Li4 Y2 Rh2'
_cell_length_a 4.6946
_cell_length_b 4.7001
_cell_length_c 6.6516
_cell_angle_alpha 90.00
_cell_angle_beta 90.00
_cell_angle_gamma 90.00
_symmetry_space_group_name_H-M 'I m m 2'
_symmetry_Int_Tables_number 44
loop_
_symmetry_equiv_pos_as_xyz
'x,y,z'
'-x,-y,z'
'-x,y,z'
'x,-y,z'
'x+1/2,y+1/2,z+1/2'
'-x+1/2,-y+1/2,z+1/2'
'-x+1/2,y+1/2,z+1/2'
'x+1/2,-y+1/2,z+1/2'
loop_
_atom_site_label
_atom_site_type_symbol
_atom_site_fract_x
_atom_site_fract_y
_atom_site_fract_z
Li1 Li 0.0000 0.0000 0.0000
Li2 Li 0.0000 0.5000 0.2503
Y1 Y 0.0000 0.0000 0.4996
Rh1 Rh 0.0000 0.5000 0.7494

***

3.
# Li2YRh, relaxed, DFT PBE-GGA
# relative energy among the computed polymorphs: 58 meV/atom
data_Li2YRh
_chemical_formula_sum 'Li2 Y1 Rh1'
_cell_length_a 3.3925
_cell_length_b 3.3950
_cell_length_c 6.8290
_cell_angle_alpha 90.00
_cell_angle_beta 90.37
_cell_angle_gamma 90.00
_symmetry_space_group_name_H-M 'P 1 m 1'
_symmetry_Int_Tables_number 6
loop_
_symmetry_equiv_pos_as_xyz
'x,y,z'
'x,-y,z'
loop_
_atom_site_label
_atom_site_type_symbol
_atom_site_fract_x
_atom_site_fract_y
_atom_site_fract_z
Li1 Li 0.0000 0.0000 0.0000
Li2 Li 0.4992 0.5000 0.2025
Y1 Y 0.9975 0.0000 0.5732
Rh1 Rh 0.4997 0.5000 0.7961

***

4.
# Li2YRh, relaxed, DFT PBE-GGA
# relative energy among the computed polymorphs: 209 meV/atom
data_Li2YRh
_chemical_formula_sum 'Li2 Y1 Rh1'
_cell_length_a 3.5353
_cell_length_b 3.5353
_cell_length_c 5.5785
_cell_angle_alpha 90.00
_cell_angle_beta 90.00
_cell_angle_gamma 90.00
_symmetry_space_group_name_H-M 'P 4/m m m'
_symmetry_Int_Tables_number 123
_symmetry_space_group_name_Hall '-P 4 2'
loop_
_atom_site_label
_atom_site_type_symbol
_atom_site_fract_x
_atom_site_fract_y
_atom_site_fract_z
Li1 Li 0.0000 0.0000 0.1935
Y1 Y 0.5000 0.5000 0.5000
Rh1 Rh 0.5000 0.5000 0.0000

***

Number 1: formation energy -0.60 eV/atom. Number 2: formation energy -0.28 eV/atom. Number 3: formation energy -0.27 eV/atom. Number 4: formation energy -0.12 eV/atom.